Record 1
A relaxed structure of Na2NdGeO5, computed with GGA-PBE.

It has space group Pnma (No. 62), with a = 9.588 Å, b = 7.608 Å, c = 6.807 Å, α = 90.00°, β = 90.00° and γ = 90.00°. Symmetry generates all atoms from Na at (0.187, 0.035, 0.118), Nd at (0.040, 0.250, 0.628), Ge at (0.086, 0.750, 0.823), O at (0.035, 0.250, 0.983), O at (0.061, 0.568, 0.664), O at (0.214, 0.750, 0.269) and O at (0.238, 0.250, 0.405).

The total energy is -6.12 eV/atom. As for the total moment: 4.038 μB/cell.

Record 2
A relaxed structure of YBe2W, computed with GGA-PBE.

It has space group P4mm (No. 99), with a = 2.843 Å, b = 2.843 Å, c = 7.387 Å, α = 90.00°, β = 90.00° and γ = 90.00°. Symmetry generates all atoms from Y at (0.000, 0.000, 0.000), Be at (0.000, 0.000, 0.433), Be at (0.500, 0.500, 0.297) and W at (0.500, 0.500, 0.657).

The polymorph energy (0 for the lowest one) comes out at 0.2324 eV/atom. Its energy of formation from the pure elements is 144 kJ/mol of formula units. As for the total moment: 0.000 μB/cell.